Model i:
First-principles (PBE) data for Rb13Au2 after structural relaxation, as listed in Alexandria via LeMat-Bulk.

Summary:
space-group type = No. 2
volume = 76.05 A^3/atom
size of the total moment = 0.000 μB/atom

Structure (POSCAR):
```
Rb13Au2
1.0
8.629 0.000 0.000
1.389 11.058 0.000
1.388 5.301 11.955
Rb Au
13 2
Cartesian
0.000 0.000 0.000 Rb
2.800 13.071 8.289 Rb
2.775 9.718 4.575 Rb
2.855 6.383 0.915 Rb
4.223 8.286 9.195 Rb
4.247 5.002 5.580 Rb
4.362 1.634 1.865 Rb
7.045 14.725 10.090 Rb
7.159 11.357 6.375 Rb
7.184 8.073 2.760 Rb
8.551 9.977 11.040 Rb
8.631 6.642 7.380 Rb
8.606 3.288 3.666 Rb
2.820 5.145 8.743 Au
8.587 11.214 3.212 Au
```


Model ii:
First-principles (PBE) data for Rb13Au2 after structural relaxation, as listed in Alexandria via LeMat-Bulk.

Summary:
space-group type = No. 166
volume = 76.47 A^3/atom
size of the total moment = 0.000 μB/atom

Structure (POSCAR):
```
Rb13Au2
1.0
4.542 2.622 16.050
-4.542 2.622 16.050
0.000 -5.245 16.050
Rb Au
13 2
Cartesian
0.000 0.000 0.000 Rb
-2.298 -1.327 18.375 Rb
-2.382 -1.375 26.052 Rb
0.000 -2.750 22.100 Rb
-2.382 1.375 22.100 Rb
0.000 -2.654 29.776 Rb
-2.298 1.327 29.776 Rb
2.298 -1.327 18.375 Rb
0.000 2.654 18.375 Rb
2.382 -1.375 26.052 Rb
0.000 2.750 26.052 Rb
2.382 1.375 22.100 Rb
2.298 1.327 29.776 Rb
0.000 0.000 3.549 Au
0.000 0.000 44.602 Au
```


Going by the energies, model i is most stable and the next is 86 meV/atom up.


Model i:
First-principles (PBE) data for Rb3Au2 after structural relaxation, as listed in Alexandria via LeMat-Bulk.

Summary:
space-group type = No. 139
volume = 45.28 A^3/atom
size of the total moment = 0.000 μB/atom

Structure (POSCAR):
```
Rb3Au2
1.0
-2.128 2.128 12.498
2.128 -2.128 12.498
2.128 2.128 -12.498
Rb Au
3 2
Cartesian
0.000 0.000 0.000 Rb
0.000 0.000 4.015 Rb
0.000 0.000 20.981 Rb
0.000 0.000 10.380 Au
0.000 0.000 14.616 Au
```


Model ii:
First-principles (PBE) data for Rb3Au2 after structural relaxation, as listed in Alexandria via LeMat-Bulk.

Summary:
space-group type = No. 167
volume = 52.28 A^3/atom
size of the total moment = 0.057 μB/atom

Structure (POSCAR):
```
Rb3Au2
1.0
4.277 2.469 8.250
-4.277 2.469 8.250
0.000 -4.939 8.250
Rb Au
6 4
Cartesian
-2.917 -0.113 10.312 Rb
-1.360 -2.583 14.437 Rb
1.556 -2.469 10.312 Rb
-1.556 2.469 14.437 Rb
1.360 2.583 10.312 Rb
2.917 0.113 14.437 Rb
0.000 0.000 3.986 Au
0.000 0.000 8.388 Au
0.000 0.000 16.361 Au
0.000 0.000 20.763 Au
```


Going by the energies, model i is most stable and the next is 31 meV/atom up.


Model i:
First-principles (PBE) data for RbAu6 after structural relaxation, as listed in Alexandria via LeMat-Bulk.

Summary:
space-group type = No. 62
volume = 21.98 A^3/atom
size of the total moment = 0.000 μB/atom

Structure (POSCAR):
```
RbAu6
1.0
9.202 0.000 0.000
0.000 5.862 0.000
0.000 0.000 11.409
Rb Au
4 24
Cartesian
2.197 1.465 0.687 Rb
2.404 4.396 6.391 Rb
6.798 1.465 5.018 Rb
7.005 4.396 10.722 Rb
0.575 0.063 3.509 Au
0.575 2.868 3.509 Au
0.677 4.396 1.073 Au
0.986 1.465 5.914 Au
1.384 4.396 9.758 Au
1.675 1.465 8.671 Au
2.926 4.396 2.967 Au
3.217 1.465 4.053 Au
3.614 4.396 0.209 Au
3.924 1.465 6.778 Au
4.026 2.994 9.214 Au
4.026 5.799 9.214 Au
5.176 0.063 2.195 Au
5.176 2.868 2.195 Au
5.277 4.396 4.631 Au
5.587 1.465 11.200 Au
5.985 4.396 7.356 Au
6.276 1.465 8.442 Au
7.526 4.396 2.738 Au
7.817 1.465 1.651 Au
8.215 4.396 5.495 Au
8.525 1.465 10.336 Au
8.627 2.994 7.900 Au
8.627 5.799 7.900 Au
```


Model ii:
First-principles (PBE) data for RbAu6 after structural relaxation, as listed in Alexandria via LeMat-Bulk.

Summary:
space-group type = No. 229
volume = 31.19 A^3/atom
size of the total moment = 0.000 μB/atom

Structure (POSCAR):
```
RbAu6
1.0
-3.793 3.793 3.793
3.793 -3.793 3.793
3.793 3.793 -3.793
Rb Au
1 6
Cartesian
0.000 0.000 0.000 Rb
3.793 1.897 0.000 Au
3.793 0.000 1.897 Au
1.897 3.793 0.000 Au
1.897 0.000 3.793 Au
0.000 3.793 1.897 Au
0.000 1.897 3.793 Au
```


Going by the energies, model i is most stable and the next is 206 meV/atom up.


Model i:
First-principles (PBE) data for RbAu5 after structural relaxation, as listed in Alexandria via LeMat-Bulk.

Summary:
space-group type = No. 65
volume = 22.12 A^3/atom
size of the total moment = 0.000 μB/atom

Structure (POSCAR):
```
RbAu5
1.0
2.734 -8.063 0.000
2.734 8.063 0.000
0.000 0.000 3.010
Rb Au
1 5
Cartesian
0.000 0.000 0.000 Rb
2.734 4.756 1.505 Au
2.734 2.365 0.000 Au
2.734 0.000 1.505 Au
2.734 -2.365 0.000 Au
2.734 -4.756 1.505 Au
```


Model ii:
First-principles (PBE) data for RbAu5 after structural relaxation, as listed in Alexandria via LeMat-Bulk.

Summary:
space-group type = No. 10
volume = 24.74 A^3/atom
size of the total moment = 0.000 μB/atom

Structure (POSCAR):
```
RbAu5
1.0
5.605 0.000 0.000
0.000 4.562 0.000
-0.024 0.000 5.805
Rb Au
1 5
Cartesian
0.000 0.000 0.000 Rb
-0.012 2.281 2.903 Au
1.463 0.000 2.908 Au
2.797 2.281 1.408 Au
2.784 2.281 4.398 Au
4.118 0.000 2.897 Au
```


Model iii:
First-principles (PBE) data for RbAu5 after structural relaxation, as listed in Alexandria via LeMat-Bulk.

Summary:
space-group type = No. 191
volume = 22.69 A^3/atom
size of the total moment = 0.000 μB/atom

Structure (POSCAR):
```
RbAu5
1.0
5.854 0.000 0.000
-2.927 5.069 0.000
0.000 0.000 4.588
Rb Au
1 5
Cartesian
0.000 0.000 0.000 Rb
-1.463 2.535 2.294 Au
0.000 3.380 0.000 Au
2.927 0.000 2.294 Au
1.463 2.535 2.294 Au
2.927 1.690 0.000 Au
```


Going by the energies, model iii is most stable and the next is 122 meV/atom up.


Model i:
First-principles (PBE) data for Rb7Au3 after structural relaxation, as listed in Alexandria via LeMat-Bulk.

Summary:
space-group type = No. 186
volume = 52.19 A^3/atom
size of the total moment = 0.000 μB/atom

Structure (POSCAR):
```
Rb7Au3
1.0
12.380 0.000 0.000
-6.190 10.721 0.000
0.000 0.000 7.863
Rb Au
14 6
Cartesian
-2.369 5.780 0.000 Rb
0.000 2.687 2.453 Rb
-3.863 9.378 2.453 Rb
2.327 1.344 6.384 Rb
0.000 7.148 4.223 Rb
2.369 5.780 0.000 Rb
0.000 9.883 0.000 Rb
6.190 0.839 3.932 Rb
3.821 4.941 3.932 Rb
6.190 3.574 0.291 Rb
3.863 9.378 2.453 Rb
10.053 1.344 6.384 Rb
6.190 8.034 6.384 Rb
8.559 4.941 3.932 Rb
0.000 4.033 5.794 Au
-2.698 8.705 5.794 Au
3.492 2.016 1.863 Au
2.698 8.705 5.794 Au
8.888 2.016 1.863 Au
6.190 6.689 1.863 Au
```


Model ii:
First-principles (PBE) data for Rb7Au3 after structural relaxation, as listed in Alexandria via LeMat-Bulk.

Summary:
space-group type = No. 229
volume = 50.14 A^3/atom
size of the total moment = 0.047 μB/atom

Structure (POSCAR):
```
Rb7Au3
1.0
-6.306 6.306 6.306
6.306 -6.306 6.306
6.306 6.306 -6.306
Rb Au
14 6
Cartesian
1.976 1.976 -1.976 Rb
4.330 4.330 -4.330 Rb
1.976 -1.976 1.976 Rb
4.330 -4.330 4.330 Rb
6.306 3.153 0.000 Rb
6.306 0.000 3.153 Rb
-1.976 1.976 1.976 Rb
1.976 1.976 1.976 Rb
3.153 6.306 0.000 Rb
3.153 0.000 6.306 Rb
-4.330 4.330 4.330 Rb
4.330 4.330 4.330 Rb
0.000 6.306 3.153 Rb
0.000 3.153 6.306 Rb
4.356 0.000 0.000 Au
8.255 0.000 0.000 Au
0.000 4.356 0.000 Au
0.000 0.000 4.356 Au
0.000 8.255 0.000 Au
0.000 0.000 8.255 Au
```


Going by the energies, model i is most stable and the next is 16 meV/atom up.


Model i:
First-principles (PBE) data for RbRe3Au after structural relaxation, as listed in Alexandria via LeMat-Bulk.

Summary:
space-group type = No. 221
volume = 26.67 A^3/atom
size of the total moment = 1.758 μB/atom

Structure (POSCAR):
```
RbRe3Au
1.0
5.109 0.000 0.000
0.000 5.109 0.000
0.000 0.000 5.109
Rb Re Au
1 3 1
Cartesian
0.000 0.000 0.000 Rb
0.000 2.554 2.554 Re
2.554 0.000 2.554 Re
2.554 2.554 0.000 Re
2.554 2.554 2.554 Au
```


Model ii:
First-principles (PBE) data for RbRe3Au after structural relaxation, as listed in Alexandria via LeMat-Bulk.

Summary:
space-group type = No. 221
volume = 20.27 A^3/atom
size of the total moment = 0.000 μB/atom

Structure (POSCAR):
```
RbRe3Au
1.0
4.662 0.000 0.000
0.000 4.662 0.000
0.000 0.000 4.662
Rb Re Au
1 3 1
Cartesian
0.000 0.000 0.000 Rb
0.000 0.000 2.331 Re
0.000 2.331 0.000 Re
2.331 0.000 0.000 Re
2.331 2.331 2.331 Au
```


Going by the energies, model i is most stable and the next is 1199 meV/atom up.